Np2IrAu | PBE | relaxed

Unit cell a=5.3774 b=5.3774 c=2.9064 alpha=90.00 beta=90.00 gamma=90.00
Last column: nearest neighbours and their distance in Å.
Sites, in units of the cell vectors:
1 Np 0.0000 0.5000 0.0000  2 Np 2.91, 4 Ir 3.06, 4 Au 3.06
2 Np 0.5000 0.0000 0.0000  2 Np 2.91, 4 Ir 3.06, 4 Au 3.06
3 Ir 0.0000 0.0000 0.5000  2 Ir 2.91, 8 Np 3.06
4 Au 0.5000 0.5000 0.5000  2 Au 2.91, 8 Np 3.06

DFT total energy	-38.359	eV/cell
space group	P4/mmm, No. 123

---

BaCdGePd3 | PBE | relaxed

Unit cell a=8.4867 b=8.4867 c=6.2614 alpha=90.00 beta=90.00 gamma=138.39
Last column: nearest neighbours and their distance in Å.
Sites, in units of the cell vectors:
1 Ba 0.2463 0.7537 0.7500  4 Pd 3.04-3.18
2 Ba 0.7537 0.2463 0.2500  4 Pd 3.04-3.18
3 Cd 0.1108 0.8892 0.2500  5 Pd 2.68-2.77
4 Cd 0.8892 0.1108 0.7500  5 Pd 2.68-2.77
5 Ge 0.4321 0.5679 0.2500  5 Pd 2.42-2.46
6 Ge 0.5679 0.4321 0.7500  5 Pd 2.42-2.46
7 Pd 0.2420 0.2420 0.0000  2 Ge 2.46
8 Pd 0.2420 0.2420 0.5000  2 Ge 2.46
9 Pd 0.2798 0.7202 0.2500  1 Ge 2.42, 1 Cd 2.68
10 Pd 0.7202 0.2798 0.7500  1 Ge 2.42, 1 Cd 2.68
11 Pd 0.7580 0.7580 0.0000  2 Ge 2.46
12 Pd 0.7580 0.7580 0.5000  2 Ge 2.46

DFT total energy	-51.055	eV/cell
space group	Cmcm, No. 63

---

YZrN2O | PBE | relaxed

Unit cell a=4.2764 b=4.2764 c=4.1716 alpha=90.00 beta=90.00 gamma=90.00
Last column: nearest neighbours and their distance in Å.
Sites, in units of the cell vectors:
1 Y 0.0000 0.0000 0.0000  2 O 2.09, 4 N 2.14
2 Zr 0.5000 0.5000 0.5000  8 N 2.99, 4 O 3.02
3 N 0.0000 0.5000 0.0000  2 Y 2.14
4 N 0.5000 0.0000 0.0000  2 Y 2.14
5 O 0.0000 0.0000 0.5000  2 Y 2.09

DFT total energy	-37.723	eV/cell
energy relative to the elements, uncorrected	-220.3	meV/atom
space group	P4/mmm, No. 123

---

La12Sn3Hg | PBE | relaxed

Unit cell a=5.0415 b=5.0415 c=20.0364 alpha=90.00 beta=90.00 gamma=90.00
Last column: nearest neighbours and their distance in Å.
Sites, in units of the cell vectors:
1 La 0.0000 0.0000 0.0000  4 Hg 3.56, 8 La 3.57
2 La 0.0000 0.0000 0.2494  8 La 3.53-3.56, 4 Sn 3.56
3 La 0.0000 0.0000 0.5000  8 La 3.55, 4 Sn 3.56
4 La 0.0000 0.0000 0.7506  8 La 3.53-3.56, 4 Sn 3.56
5 La 0.0000 0.5000 0.1262  2 Sn 3.52, 8 La 3.53-3.57, 2 Hg 3.57
6 La 0.0000 0.5000 0.3751  8 La 3.55-3.56, 4 Sn 3.55-3.57
7 La 0.0000 0.5000 0.6249  8 La 3.55-3.56, 4 Sn 3.55-3.57
8 La 0.0000 0.5000 0.8738  2 Sn 3.52, 8 La 3.53-3.57, 2 Hg 3.57
9 La 0.5000 0.0000 0.1262  2 Sn 3.52, 8 La 3.53-3.57, 2 Hg 3.57
10 La 0.5000 0.0000 0.3751  8 La 3.55-3.56, 4 Sn 3.55-3.57
11 La 0.5000 0.0000 0.6249  8 La 3.55-3.56, 4 Sn 3.55-3.57
12 La 0.5000 0.0000 0.8738  2 Sn 3.52, 8 La 3.53-3.57, 2 Hg 3.57
13 Sn 0.5000 0.5000 0.2489  12 La 3.52-3.57
14 Sn 0.5000 0.5000 0.5000  12 La 3.55-3.56
15 Sn 0.5000 0.5000 0.7511  12 La 3.52-3.57
16 Hg 0.5000 0.5000 0.0000  12 La 3.56-3.57

DFT total energy	-78.168	eV/cell
space group	P4/mmm, No. 123

---

CdSnBi | PBE | relaxed

Unit cell a=3.2655 b=4.4976 c=6.4800 alpha=71.08 beta=87.11 gamma=75.22
Last column: nearest neighbours and their distance in Å.
Sites, in units of the cell vectors:
1 Cd 0.0000 0.0000 0.0000  2 Sn 3.03-3.04, 2 Bi 3.17, 2 Cd 3.27
2 Sn 0.5015 0.3466 0.2997  2 Cd 3.03-3.04, 2 Bi 3.17-3.19, 2 Sn 3.27
3 Bi 0.5126 0.6748 0.6668  2 Cd 3.17, 2 Sn 3.17-3.19, 2 Bi 3.27

DFT total energy	-8.595	eV/cell
space group	P1, No. 1

---

HfBr3F | PBE | relaxed

Unit cell a=6.1083 b=7.2901 c=7.4792 alpha=90.00 beta=90.02 gamma=90.19
Last column: nearest neighbours and their distance in Å.
Sites, in units of the cell vectors:
1 Hf 0.0000 0.0000 0.0000  1 F 1.91
2 Hf 0.4999 0.0020 0.5000  1 F 1.91
3 Br 0.2699 0.1723 0.2553  2 Hf 2.62-2.82
4 Br 0.2698 0.1724 0.7437  2 Hf 2.62-2.82
5 Br 0.3070 0.6958 0.4993  1 Hf 2.52
6 Br 0.7685 0.8296 0.2437  2 Hf 2.62-2.82
7 Br 0.7685 0.8298 0.7553  2 Hf 2.62-2.82
8 Br 0.8097 0.3063 0.9993  1 Hf 2.52
9 F 0.2234 0.8178 0.9992  1 Hf 1.91
10 F 0.7243 0.1845 0.4992  1 Hf 1.91

relative energy among the computed polymorphs	0.00	eV/f.u.
DFT total energy	-52.331	eV/cell
energy relative to the elements, uncorrected	-1864.4	meV/atom
space group	P1, No. 1

---

Sr2Cu2AgPd5 | PBE | relaxed

Unit cell a=9.7149 b=9.7149 c=3.9624 alpha=90.00 beta=90.00 gamma=90.00
Last column: nearest neighbours and their distance in Å.
Sites, in units of the cell vectors:
1 Sr 0.1800 0.3200 0.0000  3 Cu 2.79-2.95
2 Sr 0.3200 0.8200 0.0000  3 Cu 2.79-2.95
3 Sr 0.6800 0.1800 0.0000  3 Cu 2.79-2.95
4 Sr 0.8200 0.6800 0.0000  3 Cu 2.79-2.95
5 Cu 0.1172 0.6172 0.0000  6 Pd 2.55-2.65, 1 Sr 2.79
6 Cu 0.3828 0.1172 0.0000  6 Pd 2.55-2.65, 1 Sr 2.79
7 Cu 0.6172 0.8828 0.0000  6 Pd 2.55-2.65, 1 Sr 2.79
8 Cu 0.8828 0.3828 0.0000  6 Pd 2.55-2.65, 1 Sr 2.79
9 Ag 0.0000 0.0000 0.0000  8 Pd 2.91
10 Ag 0.5000 0.5000 0.0000  8 Pd 2.91
11 Pd 0.0000 0.5000 0.5000  4 Cu 2.55
12 Pd 0.0633 0.7899 0.5000  2 Cu 2.65, 1 Pd 2.88, 2 Ag 2.91
13 Pd 0.2101 0.0633 0.5000  2 Cu 2.65, 1 Pd 2.88, 2 Ag 2.91
14 Pd 0.2899 0.5633 0.5000  2 Cu 2.65, 1 Pd 2.88, 2 Ag 2.91
15 Pd 0.4367 0.2899 0.5000  2 Cu 2.65, 1 Pd 2.88, 2 Ag 2.91
16 Pd 0.5000 0.0000 0.5000  4 Cu 2.55
17 Pd 0.5633 0.7101 0.5000  2 Cu 2.65, 1 Pd 2.88, 2 Ag 2.91
18 Pd 0.7101 0.4367 0.5000  2 Cu 2.65, 1 Pd 2.88, 2 Ag 2.91
19 Pd 0.7899 0.9367 0.5000  2 Cu 2.65, 1 Pd 2.88, 2 Ag 2.91
20 Pd 0.9367 0.2101 0.5000  2 Cu 2.65, 1 Pd 2.88, 2 Ag 2.91

DFT total energy	-87.938	eV/cell
space group	P4/mbm, No. 127

---

Sr4RePt | PBE | relaxed

Unit cell a=6.3921 b=6.3921 c=6.3921 alpha=60.00 beta=60.00 gamma=60.00
Last column: nearest neighbours and their distance in Å.
Sites, in units of the cell vectors:
1 Sr 0.1252 0.1252 0.1252  6 Sr 3.19-3.20
2 Sr 0.1252 0.1252 0.6244  6 Sr 3.19-3.20
3 Sr 0.1252 0.6244 0.1252  6 Sr 3.19-3.20
4 Sr 0.6244 0.1252 0.1252  6 Sr 3.19-3.20
5 Re 0.5000 0.5000 0.5000  12 Sr 3.75, 4 Pt 3.91
6 Pt 0.7500 0.7500 0.7500  12 Sr 3.75, 4 Re 3.91

DFT total energy	-17.208	eV/cell
space group	F-43m, No. 216

---

Tb6PrNd2 | PBE | relaxed

Unit cell a=9.6701 b=9.6701 c=6.6606 alpha=98.81 beta=98.81 gamma=95.87
Last column: nearest neighbours and their distance in Å.
Sites, in units of the cell vectors:
1 Tb 0.0372 0.4421 0.7309  7 Tb 3.42-3.79, 2 Nd 3.51-3.72, 1 Pr 3.55
2 Tb 0.1532 0.7781 0.9981  5 Tb 3.27-3.61, 1 Pr 3.30, 3 Nd 3.44-3.56
3 Tb 0.2219 0.8468 0.5019  5 Tb 3.27-3.61, 1 Pr 3.30, 3 Nd 3.44-3.56
4 Tb 0.2787 0.4542 0.1804  4 Tb 3.37-3.77, 2 Pr 3.42-3.70, 2 Nd 3.55
5 Tb 0.4421 0.0372 0.2309  7 Tb 3.42-3.79, 2 Nd 3.51-3.72, 1 Pr 3.55
6 Tb 0.4542 0.2787 0.6804  4 Tb 3.37-3.77, 2 Pr 3.42-3.70, 2 Nd 3.55
7 Tb 0.5458 0.7213 0.3196  4 Tb 3.37-3.77, 2 Pr 3.42-3.70, 2 Nd 3.55
8 Tb 0.5579 0.9628 0.7691  7 Tb 3.42-3.79, 2 Nd 3.51-3.72, 1 Pr 3.55
9 Tb 0.7213 0.5458 0.8196  4 Tb 3.37-3.77, 2 Pr 3.42-3.70, 2 Nd 3.55
10 Tb 0.7781 0.1532 0.4981  5 Tb 3.27-3.61, 1 Pr 3.30, 3 Nd 3.44-3.56
11 Tb 0.8468 0.2219 0.0019  5 Tb 3.27-3.61, 1 Pr 3.30, 3 Nd 3.44-3.56
12 Tb 0.9628 0.5579 0.2691  7 Tb 3.42-3.79, 2 Nd 3.51-3.72, 1 Pr 3.55
13 Pr 0.3801 0.6199 0.7500  6 Tb 3.30-3.55
14 Pr 0.6199 0.3801 0.2500  6 Tb 3.30-3.55
15 Nd 0.1155 0.1682 0.3723  3 Nd 3.42-3.66, 7 Tb 3.44-3.72
16 Nd 0.1682 0.1155 0.8723  3 Nd 3.42-3.66, 7 Tb 3.44-3.72
17 Nd 0.8318 0.8845 0.1277  3 Nd 3.42-3.66, 7 Tb 3.44-3.72
18 Nd 0.8845 0.8318 0.6277  3 Nd 3.42-3.66, 7 Tb 3.44-3.72

relative energy among the computed polymorphs	0.04	eV/f.u.
DFT total energy	-82.283	eV/cell
space group	C2/c, No. 15

---

Sm2TmAu | PBE | relaxed

Unit cell a=10.3809 b=10.3809 c=10.3809 alpha=20.41 beta=20.41 gamma=20.41
Last column: nearest neighbours and their distance in Å.
Sites, in units of the cell vectors:
1 Sm 0.2394 0.2394 0.2394  3 Au 3.07
2 Sm 0.7606 0.7606 0.7606  3 Au 3.07
3 Tm 0.0000 0.0000 0.0000  6 Sm 3.56, 6 Tm 3.68
4 Au 0.5000 0.5000 0.5000  6 Sm 3.07

relative energy among the computed polymorphs	0.65	eV/f.u.
DFT total energy	-18.171	eV/cell
space group	R-3m, No. 166

---

ThMoN3 | PBE | relaxed

Unit cell a=6.1234 b=6.1234 c=6.1234 alpha=52.53 beta=52.53 gamma=52.53
Last column: nearest neighbours and their distance in Å.
Sites, in units of the cell vectors:
1 Th 0.1281 0.1281 0.1281  6 N 2.41-2.51
2 Th 0.8719 0.8719 0.8719  6 N 2.41-2.51
3 Mo 0.3418 0.3418 0.3418  6 N 2.03-2.11
4 Mo 0.6582 0.6582 0.6582  6 N 2.03-2.11
5 N 0.0683 0.5107 0.6641  2 Mo 2.03-2.11
6 N 0.3359 0.4893 0.9317  2 Mo 2.03-2.11
7 N 0.4893 0.9317 0.3359  2 Mo 2.03-2.11
8 N 0.5107 0.6641 0.0683  2 Mo 2.03-2.11
9 N 0.6641 0.0683 0.5107  2 Mo 2.03-2.11
10 N 0.9317 0.3359 0.4893  2 Mo 2.03-2.11

DFT total energy	-93.839	eV/cell
energy relative to the elements, uncorrected	-738.5	meV/atom
space group	R32, No. 155

---

Tm2Bi2H3 | PBE | relaxed

Unit cell a=6.1847 b=6.1847 c=7.2040 alpha=121.95 beta=121.95 gamma=33.35
Last column: nearest neighbours and their distance in Å.
Sites, in units of the cell vectors:
1 Tm 0.1467 0.1467 0.2491  3 H 2.11
2 Tm 0.8533 0.8533 0.7509  3 H 2.11
3 Bi 0.1314 0.1314 0.7639  4 Tm 3.22-3.40, 7 H 3.25-3.55, 5 Bi 3.33-3.55
4 Bi 0.8686 0.8686 0.2361  4 Tm 3.22-3.40, 7 H 3.25-3.55, 5 Bi 3.33-3.55
5 H 0.3262 0.3262 0.5717  3 Tm 2.11, 2 H 2.33
6 H 0.5000 0.5000 0.0000  4 Tm 2.44, 2 H 2.60
7 H 0.6738 0.6738 0.4283  3 Tm 2.11, 2 H 2.33

DFT total energy	-30.209	eV/cell
space group	C2/m, No. 12